Entry 1:
Below is a relaxed structure of MgFeSi2B, with properties calculated at the PBE level.

Calculated values
Raw formation energy = 0.88 eV/atom
ρ = 2802 kg/m³
Magnetic moment = 1.0 Bohr magnetons per cell
DOS(E_F) = 3.21 states/eV/cell

abc: 4.224 4.224 4.887
angles: 90.00 90.00 90.00
Positions (direct):
Mg  0.000  0.000  0.000
Fe  0.000  0.000  0.500
Si  0.000  0.500  0.500
Si  0.500  0.000  0.500
B  0.500  0.500  0.000

***

Entry 2:
Below is a relaxed structure of SrMg2FeB, with properties calculated at the PBE level.

Calculated values
Formation enthalpy at 0 K = 678 meV per atom
ρ = 2912 kg/m³
Magnetic moment = 2.9 Bohr magnetons per cell
DOS(E_F) = 5.08 states/eV/cell

abc: 4.580 4.580 5.516
angles: 90.00 90.00 90.00
Positions (direct):
Sr  0.000  0.000  0.000
Mg  0.000  0.500  0.500
Mg  0.500  0.000  0.500
Fe  0.500  0.500  0.000
B  0.000  0.000  0.500

***

Entry 3:
Below is a relaxed structure of MgFeTc2B, with properties calculated at the PBE level.

Calculated values
Formation enthalpy at 0 K = 595 meV per atom
ρ = 6867 kg/m³
Magnetic moment = 0.0 Bohr magnetons per cell
DOS(E_F) = 7.07 states/eV/cell

abc: 4.071 4.071 4.187
angles: 90.00 90.00 90.00
Positions (direct):
Mg  0.000  0.000  0.000
Fe  0.500  0.500  0.000
Tc  0.000  0.500  0.500
Tc  0.500  0.000  0.500
B  0.000  0.000  0.500

***

Entry 4:
Below is a relaxed structure of Mn3FeB, with properties calculated at the PBE level.

Calculated values
Polymorph energy (0 for the lowest one) = 0 meV/atom
Formation enthalpy at 0 K = 329 meV per atom
ρ = 7300 kg/m³
Magnetic moment = 1.1 Bohr magnetons per cell
DOS(E_F) = 7.13 states/eV/cell

abc: 3.748 3.748 3.748
angles: 90.00 90.00 90.00
Positions (direct):
Mn  0.000  0.000  0.500
Mn  0.000  0.500  0.000
Mn  0.500  0.000  0.000
Fe  0.500  0.500  0.500
B  0.000  0.000  0.000

***

Entry 5:
Below is a relaxed structure of MnFeB, with properties calculated at the PBE level.

Calculated values
Formation enthalpy at 0 K = -296 meV per atom
ρ = 7165 kg/m³
Magnetic moment = 7.8 Bohr magnetons per cell
DOS(E_F) = 3.97 states/eV/cell

abc: 6.842 6.842 2.909
angles: 90.00 90.00 155.55
Positions (direct):
Mn  0.084  0.916  0.750
Mn  0.916  0.084  0.250
Fe  0.300  0.700  0.750
Fe  0.700  0.300  0.250
B  0.462  0.538  0.750
B  0.538  0.462  0.250

***

Entry 6:
Below is a relaxed structure of Mn2Fe2B, with properties calculated at the PBE level.

Calculated values
Polymorph energy (0 for the lowest one) = 2 meV/atom
Formation enthalpy at 0 K = 710 meV per atom
ρ = 7146 kg/m³
Magnetic moment = 2.6 Bohr magnetons per cell
DOS(E_F) = 5.41 states/eV/cell

abc: 6.547 6.547 6.547
angles: 153.96 153.96 37.15
Positions (direct):
Mn  0.087  0.087  0.000
Mn  0.913  0.913  0.000
Fe  0.250  0.750  0.500
Fe  0.750  0.250  0.500
B  0.500  0.500  0.000